Entry 1:
Below is a geometry-optimized AcAgO4 structure, with properties calculated at the PBE level.

a = 4.2681 Å, b = 4.2681 Å, c = 6.6203 Å
α = 91.06°, β = 91.06°, γ = 53.29°
Positions (direct):
1 Ac 0.0000 0.0000 0.0000
2 Ag 0.3740 0.3740 0.4597
3 O 0.0028 0.0028 0.3706
4 O 0.3177 0.3177 0.0358
5 O 0.6103 0.6103 0.7257
6 O 0.7692 0.7692 0.6385

Computed properties:
The value obtained for the energy above the most stable polymorph in this dataset is 0.0 meV/atom.


Entry 2:
Below is a geometry-optimized AcAgOs2O7 structure, with properties calculated at the PBE level.

a = 3.9043 Å, b = 3.9043 Å, c = 10.7196 Å
α = 90.00°, β = 90.00°, γ = 90.00°
Positions (direct):
1 Ac 0.0000 0.0000 0.0000
2 Ag 0.0000 0.0000 0.5000
3 Os 0.5000 0.5000 0.2065
4 Os 0.5000 0.5000 0.7935
5 O 0.0000 0.5000 0.1753
6 O 0.0000 0.5000 0.8247
7 O 0.5000 0.0000 0.1753
8 O 0.5000 0.0000 0.8247
9 O 0.5000 0.5000 0.0000
10 O 0.5000 0.5000 0.3753
11 O 0.5000 0.5000 0.6247

Computed properties:
The calculation puts the total energy at -77.5 eV/cell.


Entry 3:
Below is a geometry-optimized Ac2AgOsO6 structure, with properties calculated at the PBE level.

a = 5.6514 Å, b = 5.6514 Å, c = 5.2051 Å
α = 90.00°, β = 90.00°, γ = 90.00°
Positions (direct):
1 Ac 0.0000 0.5000 0.0000
2 Ac 0.5000 0.0000 0.0000
3 Ag 0.0000 0.0000 0.5084
4 Os 0.5000 0.5000 0.5754
5 O 0.0000 0.0000 0.0930
6 O 0.2729 0.2729 0.7165
7 O 0.2729 0.7271 0.7165
8 O 0.5000 0.5000 0.2199
9 O 0.7271 0.2729 0.7165
10 O 0.7271 0.7271 0.7165

Computed properties:
The calculation puts the total energy at -70.2 eV/cell.


Entry 4:
Below is a geometry-optimized AcAgOs2O8 structure, with properties calculated at the PBE level.

a = 6.2086 Å, b = 6.2086 Å, c = 6.9900 Å
α = 90.00°, β = 90.00°, γ = 120.00°
Positions (direct):
1 Ac 0.0000 0.0000 0.0000
2 Ag 0.0000 0.0000 0.5000
3 Os 0.3333 0.6667 0.3251
4 Os 0.6667 0.3333 0.6749
5 O 0.1738 0.3476 0.2334
6 O 0.1738 0.8262 0.2334
7 O 0.3333 0.6667 0.5762
8 O 0.3476 0.1738 0.7666
9 O 0.6524 0.8262 0.2334
10 O 0.6667 0.3333 0.4238
11 O 0.8262 0.1738 0.7666
12 O 0.8262 0.6524 0.7666

Computed properties:
The calculation puts the total energy at -83.7 eV/cell.


Entry 5:
Below is a geometry-optimized AcAg2OsO6 structure, with properties calculated at the PBE level.

a = 5.8521 Å, b = 5.8512 Å, c = 10.2177 Å
α = 90.00°, β = 123.84°, γ = 90.00°
Positions (direct):
1 Ac 0.0000 0.0000 0.0000
2 Ac 0.0000 0.5000 0.5000
3 Ag 0.2370 0.0213 0.7464
4 Ag 0.2370 0.4787 0.2464
5 Ag 0.7630 0.5213 0.7536
6 Ag 0.7630 0.9787 0.2536
7 Os 0.5000 0.0000 0.5000
8 Os 0.5000 0.5000 0.0000
9 O 0.1977 0.0703 0.2865
10 O 0.1977 0.4297 0.7865
11 O 0.2506 0.6416 0.0389
12 O 0.2506 0.8584 0.5389
13 O 0.4330 0.2173 0.0642
14 O 0.4330 0.2827 0.5642
15 O 0.5670 0.7173 0.4358
16 O 0.5670 0.7827 0.9358
17 O 0.7494 0.1416 0.4611
18 O 0.7494 0.3584 0.9611
19 O 0.8023 0.5703 0.2135
20 O 0.8023 0.9297 0.7135

Computed properties:
The calculation puts the total energy at -126.9 eV/cell.


Entry 6:
Below is a geometry-optimized Ac5Ag2OsO structure, with properties calculated at the PBE level.

a = 9.8297 Å, b = 9.8297 Å, c = 14.0935 Å
α = 90.00°, β = 90.00°, γ = 154.37°
Positions (direct):
1 Ac 0.0000 0.0000 0.0000
2 Ac 0.0000 0.0000 0.5000
3 Ac 0.1452 0.8548 0.7383
4 Ac 0.1936 0.8064 0.1104
5 Ac 0.2096 0.7904 0.3955
6 Ac 0.4492 0.5508 0.7320
7 Ac 0.5508 0.4492 0.2320
8 Ac 0.7904 0.2096 0.8955
9 Ac 0.8064 0.1936 0.6104
10 Ac 0.8548 0.1452 0.2383
11 Ag 0.3757 0.6243 0.0562
12 Ag 0.3865 0.6135 0.4191
13 Ag 0.6135 0.3865 0.9191
14 Ag 0.6243 0.3757 0.5562
15 Os 0.2942 0.7058 0.7542
16 Os 0.7058 0.2942 0.2542
17 O 0.0573 0.9427 0.1494
18 O 0.9427 0.0573 0.6494

Computed properties:
The calculation puts the total energy at -98.0 eV/cell.


Entry 7:
Below is a geometry-optimized AcAg2OsO8 structure, with properties calculated at the PBE level.

a = 5.4505 Å, b = 5.4505 Å, c = 6.6248 Å
α = 90.00°, β = 90.00°, γ = 120.00°
Positions (direct):
1 Ac 0.0000 0.0000 0.0000
2 Ag 0.3333 0.6667 0.3785
3 Ag 0.6667 0.3333 0.6215
4 Os 0.0000 0.0000 0.5000
5 O 0.1595 0.3190 0.6696
6 O 0.1595 0.8405 0.6696
7 O 0.3190 0.1595 0.3304
8 O 0.3333 0.6667 0.0712
9 O 0.6667 0.3333 0.9288
10 O 0.6810 0.8405 0.6696
11 O 0.8405 0.1595 0.3304
12 O 0.8405 0.6810 0.3304

Computed properties:
The calculation puts the total energy at -69.0 eV/cell.


Entry 8:
Below is a geometry-optimized AcAgPO5 structure, with properties calculated at the PBE level.

a = 6.2354 Å, b = 6.2354 Å, c = 8.8725 Å
α = 108.63°, β = 108.63°, γ = 92.05°
Positions (direct):
1 Ac 0.0000 0.5000 0.0000
2 Ac 0.5000 0.0000 0.5000
3 Ag 0.0835 0.9165 0.7500
4 Ag 0.9165 0.0835 0.2500
5 P 0.4028 0.5972 0.7500
6 P 0.5972 0.4028 0.2500
7 O 0.1410 0.8590 0.2500
8 O 0.2247 0.6444 0.8461
9 O 0.3466 0.3509 0.6241
10 O 0.3509 0.3466 0.1241
11 O 0.3556 0.7753 0.6539
12 O 0.6444 0.2247 0.3461
13 O 0.6491 0.6534 0.8759
14 O 0.6534 0.6491 0.3759
15 O 0.7753 0.3556 0.1539
16 O 0.8590 0.1410 0.7500

Computed properties:
The calculation puts the total energy at -108.0 eV/cell.


Entry 9:
Below is a geometry-optimized AcAgP2O8 structure, with properties calculated at the PBE level.

a = 6.1460 Å, b = 6.1460 Å, c = 6.1460 Å
α = 106.06°, β = 106.06°, γ = 116.53°
Positions (direct):
1 Ac 0.0000 0.0000 0.0000
2 Ag 0.2500 0.7500 0.5000
3 P 0.5000 0.5000 0.0000
4 P 0.7500 0.2500 0.5000
5 O 0.3541 0.1872 0.8330
6 O 0.3541 0.5211 0.1670
7 O 0.4373 0.1030 0.3343
8 O 0.4789 0.6459 0.8330
9 O 0.7686 0.1030 0.6657
10 O 0.8128 0.6459 0.1670
11 O 0.8970 0.2314 0.3343
12 O 0.8970 0.5627 0.6657

Computed properties:
The calculation puts the total energy at -81.5 eV/cell.


Entry 10:
Below is a geometry-optimized AcAg2PO8 structure, with properties calculated at the PBE level.

a = 5.0563 Å, b = 5.0563 Å, c = 6.8420 Å
α = 90.00°, β = 90.00°, γ = 120.00°
Positions (direct):
1 Ac 0.0000 0.0000 0.0000
2 Ag 0.3333 0.6667 0.3600
3 Ag 0.6667 0.3333 0.6400
4 P 0.0000 0.0000 0.5000
5 O 0.1530 0.3060 0.6503
6 O 0.1530 0.8470 0.6503
7 O 0.3060 0.1530 0.3497
8 O 0.3333 0.6667 0.0534
9 O 0.6667 0.3333 0.9466
10 O 0.6940 0.8470 0.6503
11 O 0.8470 0.1530 0.3497
12 O 0.8470 0.6940 0.3497

Computed properties:
The calculation puts the total energy at -65.8 eV/cell.


Entry 11:
Below is a geometry-optimized AcAg2PO4 structure, with properties calculated at the PBE level.

a = 8.1075 Å, b = 7.7964 Å, c = 4.5634 Å
α = 77.11°, β = 69.62°, γ = 33.28°
Positions (direct):
1 Ac 0.0000 0.0000 0.0000
2 Ag 0.2897 0.2897 0.2103
3 Ag 0.7897 0.7897 0.7103
4 P 0.5922 0.5922 0.4078
5 O 0.3550 0.6919 0.3080
6 O 0.4118 0.8805 0.5882
7 O 0.6919 0.3550 0.6450
8 O 0.8805 0.4118 0.1195

Computed properties:
The calculation puts the total energy at -49.4 eV/cell.


Entry 12:
Below is a geometry-optimized AcPa2AgO8 structure, with properties calculated at the PBE level.

a = 6.7247 Å, b = 6.7247 Å, c = 6.7247 Å
α = 130.57°, β = 130.57°, γ = 72.49°
Positions (direct):
1 Ac 0.0000 0.0000 0.0000
2 Pa 0.5000 0.5000 0.0000
3 Pa 0.7500 0.2500 0.5000
4 Ag 0.2500 0.7500 0.5000
5 O 0.1259 0.1530 0.5322
6 O 0.1259 0.5937 0.9729
7 O 0.4063 0.3791 0.5322
8 O 0.4063 0.8741 0.0271
9 O 0.6209 0.1530 0.0271
10 O 0.6209 0.5937 0.4678
11 O 0.8470 0.3791 0.9729
12 O 0.8470 0.8741 0.4678

Computed properties:
The calculation puts the total energy at -98.2 eV/cell.


Entry 13:
Below is a geometry-optimized AcPaAgO5 structure, with properties calculated at the PBE level.

a = 6.2814 Å, b = 6.2814 Å, c = 8.2407 Å
α = 102.01°, β = 102.01°, γ = 113.34°
Positions (direct):
1 Ac 0.1850 0.8150 0.7500
2 Ac 0.8150 0.1850 0.2500
3 Pa 0.5000 0.5000 0.0000
4 Pa 0.5000 0.5000 0.5000
5 Ag 0.1693 0.8307 0.2500
6 Ag 0.8307 0.1693 0.7500
7 O 0.1584 0.1881 0.9208
8 O 0.1881 0.1584 0.4208
9 O 0.2194 0.6204 0.4267
10 O 0.3796 0.7806 0.0733
11 O 0.4245 0.5755 0.7500
12 O 0.5755 0.4245 0.2500
13 O 0.6204 0.2194 0.9267
14 O 0.7806 0.3796 0.5733
15 O 0.8119 0.8416 0.5792
16 O 0.8416 0.8119 0.0792

Computed properties:
The calculation puts the total energy at -123.7 eV/cell.


Entry 14:
Below is a geometry-optimized AcAgPbO4 structure, with properties calculated at the PBE level.

a = 6.0707 Å, b = 6.0707 Å, c = 7.7549 Å
α = 90.00°, β = 90.00°, γ = 114.33°
Positions (direct):
1 Ac 0.0000 0.0000 0.0000
2 Ac 0.0000 0.0000 0.5000
3 Ag 0.3113 0.6887 0.7500
4 Ag 0.6887 0.3113 0.2500
5 Pb 0.3536 0.6464 0.2500
6 Pb 0.6464 0.3536 0.7500
7 O 0.2330 0.2637 0.2500
8 O 0.2419 0.7581 0.0240
9 O 0.2419 0.7581 0.4760
10 O 0.2637 0.2330 0.7500
11 O 0.7363 0.7670 0.2500
12 O 0.7581 0.2419 0.5240
13 O 0.7581 0.2419 0.9760
14 O 0.7670 0.7363 0.7500

Computed properties:
The calculation puts the total energy at -82.1 eV/cell.


Entry 15:
Below is a geometry-optimized Ac2AgPbO5 structure, with properties calculated at the PBE level.

a = 7.2205 Å, b = 7.2205 Å, c = 6.5155 Å
α = 90.00°, β = 90.00°, γ = 90.00°
Positions (direct):
1 Ac 0.1791 0.3209 0.0000
2 Ac 0.3209 0.8209 0.0000
3 Ac 0.6791 0.1791 0.0000
4 Ac 0.8209 0.6791 0.0000
5 Ag 0.0000 0.0000 0.5000
6 Ag 0.5000 0.5000 0.5000
7 Pb 0.0000 0.5000 0.5000
8 Pb 0.5000 0.0000 0.5000
9 O 0.0000 0.0000 0.0000
10 O 0.1404 0.6404 0.2394
11 O 0.1404 0.6404 0.7606
12 O 0.3596 0.1404 0.2394
13 O 0.3596 0.1404 0.7606
14 O 0.5000 0.5000 0.0000
15 O 0.6404 0.8596 0.2394
16 O 0.6404 0.8596 0.7606
17 O 0.8596 0.3596 0.2394
18 O 0.8596 0.3596 0.7606

Computed properties:
The calculation puts the total energy at -111.6 eV/cell.


Entry 16:
Below is a geometry-optimized AcAgPdO4 structure, with properties calculated at the PBE level.

a = 6.9249 Å, b = 6.9249 Å, c = 6.9249 Å
α = 122.84°, β = 106.03°, γ = 100.46°
Positions (direct):
1 Ac 0.0000 0.0000 0.0000
2 Ac 0.5000 0.0000 0.5000
3 Ag 0.3190 0.5690 0.7500
4 Ag 0.6810 0.4310 0.2500
5 Pd 0.0000 0.0000 0.5000
6 Pd 0.0000 0.5000 0.0000
7 O 0.1343 0.7299 0.4044
8 O 0.1746 0.2701 0.9044
9 O 0.2334 0.1893 0.4559
10 O 0.2334 0.7775 0.0441
11 O 0.7666 0.2225 0.9559
12 O 0.7666 0.8107 0.5441
13 O 0.8254 0.7299 0.0956
14 O 0.8657 0.2701 0.5956

Computed properties:
The calculation puts the total energy at -81.8 eV/cell.


Entry 17:
Below is a geometry-optimized Ac3Ag3PdO8 structure, with properties calculated at the PBE level.

a = 6.9354 Å, b = 6.9354 Å, c = 6.9268 Å
α = 114.92°, β = 114.92°, γ = 64.99°
Positions (direct):
1 Ac 0.0000 0.0000 0.0000
2 Ac 0.0000 0.5000 0.5000
3 Ac 0.5000 0.0000 0.5000
4 Ag 0.0000 0.5000 0.0000
5 Ag 0.5000 0.0000 0.0000
6 Ag 0.5000 0.5000 0.5000
7 Pd 0.5000 0.5000 0.0000
8 O 0.2328 0.2328 0.2667
9 O 0.2890 0.7072 0.7921
10 O 0.2927 0.2927 0.7897
11 O 0.2928 0.7110 0.2079
12 O 0.7072 0.2890 0.7921
13 O 0.7073 0.7073 0.2103
14 O 0.7110 0.2928 0.2079
15 O 0.7672 0.7672 0.7333

Computed properties:
The calculation puts the total energy at -89.3 eV/cell.


Entry 18:
Below is a geometry-optimized Ac2Ag2PdO6 structure, with properties calculated at the PBE level.

a = 6.3421 Å, b = 6.3421 Å, c = 6.3421 Å
α = 59.91°, β = 59.91°, γ = 59.91°
Positions (direct):
1 Ac 0.2098 0.2098 0.2098
2 Ac 0.7902 0.7902 0.7902
3 Ag 0.4083 0.4083 0.4083
4 Ag 0.5917 0.5917 0.5917
5 Pd 0.0000 0.0000 0.0000
6 O 0.1863 0.7723 0.7723
7 O 0.2277 0.2277 0.8137
8 O 0.2277 0.8137 0.2277
9 O 0.7723 0.1863 0.7723
10 O 0.7723 0.7723 0.1863
11 O 0.8137 0.2277 0.2277

Computed properties:
The calculation puts the total energy at -64.1 eV/cell.


Entry 19:
Below is a geometry-optimized Ac2AgPd2O6 structure, with properties calculated at the PBE level.

a = 6.5685 Å, b = 6.5685 Å, c = 6.5685 Å
α = 55.50°, β = 55.50°, γ = 55.50°
Positions (direct):
1 Ac 0.2151 0.2151 0.2151
2 Ac 0.7849 0.7849 0.7849
3 Ag 0.0000 0.0000 0.0000
4 Pd 0.4148 0.4148 0.4148
5 Pd 0.5852 0.5852 0.5852
6 O 0.1940 0.7572 0.7572
7 O 0.2428 0.2428 0.8060
8 O 0.2428 0.8060 0.2428
9 O 0.7572 0.1940 0.7572
10 O 0.7572 0.7572 0.1940
11 O 0.8060 0.2428 0.2428

Computed properties:
The calculation puts the total energy at -64.8 eV/cell.


Entry 20:
Below is a geometry-optimized AcAgPd2O4 structure, with properties calculated at the PBE level.

a = 4.0862 Å, b = 4.0862 Å, c = 7.0450 Å
α = 90.00°, β = 90.00°, γ = 90.00°
Positions (direct):
1 Ac 0.0000 0.0000 0.0000
2 Ag 0.0000 0.0000 0.5000
3 Pd 0.5000 0.5000 0.2855
4 Pd 0.5000 0.5000 0.7145
5 O 0.0000 0.5000 0.2273
6 O 0.0000 0.5000 0.7727
7 O 0.5000 0.0000 0.2273
8 O 0.5000 0.0000 0.7727

Computed properties:
The calculation puts the total energy at -46.5 eV/cell.


Number 1: calculated density 6.85 g/cm³, total magnetization 1.14 Bohr magnetons per cell. Number 2: calculated density 8.41 g/cm³, total magnetization 4.60 Bohr magnetons per cell. Number 3: calculated density 8.47 g/cm³, total magnetization 0.96 Bohr magnetons per cell. Number 4: calculated density 6.00 g/cm³, total magnetization 4.04 Bohr magnetons per cell. Number 5: calculated density 8.33 g/cm³, total magnetization 0.00 Bohr magnetons per cell. Number 6: calculated density 8.78 g/cm³, total magnetization 0.29 Bohr magnetons per cell. Number 7: calculated density 7.41 g/cm³, total magnetization 3.04 Bohr magnetons per cell. Number 8: calculated density 4.84 g/cm³, total magnetization 2.05 Bohr magnetons per cell. Number 9: calculated density 4.93 g/cm³, total magnetization 2.08 Bohr magnetons per cell. Number 10: calculated density 6.60 g/cm³, total magnetization 6.00 Bohr magnetons per cell. Number 11: calculated density 6.07 g/cm³, total magnetization 0.00 Bohr magnetons per cell. Number 12: calculated density 8.96 g/cm³, total magnetization 0.96 Bohr magnetons per cell. Number 13: calculated density 7.76 g/cm³, total magnetization 0.00 Bohr magnetons per cell. Number 14: calculated density 7.73 g/cm³, total magnetization 0.00 Bohr magnetons per cell. Number 15: calculated density 8.30 g/cm³, total magnetization 1.47 Bohr magnetons per cell. Number 16: calculated density 6.86 g/cm³, total magnetization 0.00 Bohr magnetons per cell. Number 17: calculated density 7.87 g/cm³, total magnetization 0.00 Bohr magnetons per cell. Number 18: calculated density 8.05 g/cm³, total magnetization 0.00 Bohr magnetons per cell. Number 19: calculated density 8.06 g/cm³, total magnetization 0.00 Bohr magnetons per cell. Number 20: calculated density 8.64 g/cm³, total magnetization 0.00 Bohr magnetons per cell.